Record 1
Entry from Alexandria: a relaxed Sm7In2Te2 crystal (PBE).

Output
The volume comes out at 32.81 A^3/atom. The calculation puts the uncorrected formation energy at -0.435 eV per atom. As for the crystal system: orthorhombic.

Lattice parameters (Å, degrees): 7.033 7.593 7.033 90.00 106.07 90.00
Fractional coordinates of all 11 atoms:
Sm 0.000 0.281 0.500
Sm 0.500 0.719 0.000
Sm 0.000 0.719 0.500
Sm 0.500 0.281 0.000
Sm 0.000 0.000 0.000
Sm 0.500 0.734 0.500
Sm 0.500 0.266 0.500
In 0.827 0.500 0.827
In 0.173 0.500 0.173
Te 0.720 0.000 0.280
Te 0.280 0.000 0.720

Record 2
Entry from Alexandria: a relaxed Pm3YSc7 crystal (PBE).

Output
The volume comes out at 28.41 A^3/atom. The value obtained for the formation energy is 3.28 eV per formula unit. As for the crystal system: orthorhombic.

Lattice parameters (Å, degrees): 5.504 8.022 8.022 81.65 110.02 110.02
Site moments in Bohr magnetons follow the coordinates.
Fractional coordinates of all 11 atoms:
Pm 0.000 0.784 0.216  0.00
Pm 0.500 0.000 0.000  0.00
Pm 0.000 0.216 0.784  0.00
Y 0.500 0.500 0.500  0.09
Sc 0.207 0.207 0.207  0.01
Sc 0.280 0.968 0.591  0.00
Sc 0.720 0.409 0.032  0.00
Sc 0.280 0.591 0.968  0.00
Sc 0.000 0.500 0.500  0.12
Sc 0.720 0.032 0.409  0.00
Sc 0.793 0.793 0.793  0.01

Record 3
Entry from Alexandria: a relaxed Ho2ErSc3Se6 crystal (PBE).

Output
The volume comes out at 22.01 A^3/atom. The calculation puts the uncorrected formation energy at -1.651 eV per atom. As for the crystal system: monoclinic.

Lattice parameters (Å, degrees): 6.867 6.867 6.876 99.53 99.53 120.25
Fractional coordinates of all 12 atoms:
Ho 0.333 0.667 0.000
Ho 0.667 0.333 0.000
Er 0.000 0.000 0.000
Sc 0.168 0.832 0.500
Sc 0.832 0.168 0.500
Sc 0.500 0.500 0.500
Se 0.912 0.581 0.737
Se 0.756 0.756 0.263
Se 0.088 0.419 0.263
Se 0.581 0.912 0.737
Se 0.244 0.244 0.737
Se 0.419 0.088 0.263

Record 4
Entry from Alexandria: a relaxed Ta3V2Re crystal (PBE).

Output
The volume comes out at 16.06 A^3/atom. The value obtained for the formation energy is -0.98 eV per formula unit. As for the crystal system: orthorhombic.

Lattice parameters (Å, degrees): 4.492 7.103 6.367 90.00 90.00 71.57
Site moments in Bohr magnetons follow the coordinates.
Fractional coordinates of all 12 atoms:
Ta 0.833 0.333 0.749  0.00
Ta 0.500 0.000 0.250  0.01
Ta 0.167 0.667 0.251  0.00
Ta 0.833 0.333 0.251  0.00
Ta 0.167 0.667 0.749  0.00
Ta 0.500 0.000 0.750  0.01
V 0.000 0.000 0.000  0.19
V 0.000 0.000 0.500  0.00
V 0.333 0.334 0.500  0.01
V 0.667 0.666 0.500  0.01
Re 0.334 0.331 0.000  0.01
Re 0.666 0.669 0.000  0.01